Version i
DFT (SCAN) results for a PBEsol-optimized structure of TaAgCl2.

Lattice parameters (Å, degrees): 4.666 4.666 4.666 60.00 60.00 60.00
Site moments in Bohr magnetons follow the coordinates.
Element x y z (fractional)
Cl  0.000  0.000  0.000  -0.02
Cl  0.250  0.250  0.250  0.09
Ag  0.500  0.500  0.500  0.00
Ta  0.750  0.750  0.750  1.40

## Properties
The value obtained for the magnetization is 1.97 μB per cell. Its space group is F-43m. Its density of states at the Fermi level is 0.76 states/eV per cell.

Version ii
DFT (SCAN) results for a PBEsol-optimized structure of TaAgCl2.

Lattice parameters (Å, degrees): 3.109 3.109 10.702 81.65 81.65 60.00
Element x y z (fractional)
Cl  0.929  0.929  0.214
Cl  0.071  0.071  0.786
Ag  0.500  0.500  0.500
Ta  0.000  0.000  0.000

## Properties
The value obtained for the magnetization is 0.00 μB per cell. Its space group is R-3m. Its density of states at the Fermi level is 2.49 states/eV per cell.

Least stable of them? version i.

Version i
DFT (SCAN) results for a PBEsol-optimized structure of TaAgCl2.

Lattice parameters (Å, degrees): 3.629 3.629 5.850 108.07 108.07 90.00
Element x y z (fractional)
Cl  0.000  0.000  0.000
Cl  0.750  0.250  0.500
Ag  0.250  0.750  0.500
Ta  0.500  0.500  0.000

## Properties
The value obtained for the magnetization is 0.00 μB per cell. Its space group is I-4m2. Its density of states at the Fermi level is 2.51 states/eV per cell.

Version ii
DFT (SCAN) results for a PBEsol-optimized structure of TaAgCl2.

Lattice parameters (Å, degrees): 5.460 6.521 6.521 79.90 65.25 65.25
Site moments in Bohr magnetons follow the coordinates.
Element x y z (fractional)
Cl  0.994  0.131  0.631  -0.02
Cl  0.756  0.869  0.369  -0.02
Cl  0.375  0.631  0.869  -0.02
Cl  0.875  0.369  0.131  -0.02
Ag  0.250  0.500  0.500  0.03
Ag  0.500  0.000  0.000  0.03
Ta  0.750  0.500  0.500  1.15
Ta  0.000  0.000  0.000  1.15

## Properties
The value obtained for the magnetization is 3.38 μB per cell. Its space group is I-42d. Its density of states at the Fermi level is 3.84 states/eV per cell.

Version iii
DFT (SCAN) results for a PBEsol-optimized structure of TaAgCl2.

Lattice parameters (Å, degrees): 3.181 3.181 8.672 79.43 79.43 60.00
Element x y z (fractional)
Cl  0.987  0.987  0.038
Cl  0.765  0.765  0.704
Ag  0.249  0.249  0.252
Ta  0.498  0.498  0.506

## Properties
The value obtained for the magnetization is 0.00 μB per cell. Its space group is R3m. Its density of states at the Fermi level is 1.55 states/eV per cell.

Version iv
DFT (SCAN) results for a PBEsol-optimized structure of TaAgCl2.

Lattice parameters (Å, degrees): 4.139 4.139 4.825 115.40 115.40 90.00
Element x y z (fractional)
Cl  0.750  0.250  0.500
Cl  0.250  0.750  0.500
Ag  0.000  0.000  0.000
Ta  0.500  0.500  0.000

## Properties
The value obtained for the magnetization is 0.00 μB per cell. Its space group is I4/mmm. Its density of states at the Fermi level is 1.62 states/eV per cell.

Least stable of them? version i.

Version i
DFT (SCAN) results for a PBEsol-optimized structure of AgWCl2.

Lattice parameters (Å, degrees): 2.885 4.941 6.578 112.06 102.67 90.00
Site moments in Bohr magnetons follow the coordinates.
Element x y z (fractional)
Ag  0.000  0.500  0.000  -0.02
W  0.500  0.000  0.000  -0.69
Cl  0.838  0.838  0.676  -0.01
Cl  0.162  0.162  0.324  -0.01

## Properties
The value obtained for the magnetization is 0.92 μB per cell. Its space group is Immm. Its density of states at the Fermi level is 2.22 states/eV per cell.

Version ii
DFT (SCAN) results for a PBEsol-optimized structure of AgWCl2.

Lattice parameters (Å, degrees): 2.974 2.974 10.317 81.71 81.71 60.00
Element x y z (fractional)
Ag  0.500  0.500  0.500
W  0.000  0.000  0.000
Cl  0.927  0.927  0.220
Cl  0.073  0.073  0.780

## Properties
The value obtained for the magnetization is 0.00 μB per cell. Its space group is R-3m. Its density of states at the Fermi level is 2.60 states/eV per cell.

Least stable of them? version ii.

Version i
DFT (SCAN) results for a PBEsol-optimized structure of AgW2Cl.

Lattice parameters (Å, degrees): 2.863 2.863 8.860 90.00 90.00 112.68
Element x y z (fractional)
Ag  0.000  0.000  0.507
W  0.000  0.000  0.995
W  0.500  0.500  0.769
Cl  0.500  0.500  0.230

## Properties
The value obtained for the magnetization is 0.00 μB per cell. Its space group is Cmm2. Its density of states at the Fermi level is 2.08 states/eV per cell.

Version ii
DFT (SCAN) results for a PBEsol-optimized structure of AgW2Cl.

Lattice parameters (Å, degrees): 2.749 4.911 5.678 113.65 100.73 97.41
Element x y z (fractional)
Ag  0.000  0.000  0.000
W  0.000  0.000  0.500
W  0.500  0.500  0.500
Cl  0.500  0.500  0.000

## Properties
The value obtained for the magnetization is 0.00 μB per cell. Its space group is C2/m. Its density of states at the Fermi level is 2.65 states/eV per cell.

Least stable of them? version ii.

Version i
DFT (SCAN) results for a PBEsol-optimized structure of YAg2Cl.

Lattice parameters (Å, degrees): 3.989 4.000 5.422 90.00 90.00 90.00
Element x y z (fractional)
Y  0.500  0.500  0.500
Ag  0.000  0.000  0.747
Ag  0.000  0.000  0.253
Cl  0.500  0.500  0.000

## Properties
The value obtained for the magnetization is 0.00 μB per cell. Its space group is Pmmm. Its density of states at the Fermi level is 3.40 states/eV per cell.

Version ii
DFT (SCAN) results for a PBEsol-optimized structure of YAg2Cl.

Lattice parameters (Å, degrees): 3.845 3.845 6.073 108.46 108.46 90.00
Element x y z (fractional)
Y  0.000  0.000  0.000
Ag  0.750  0.250  0.500
Ag  0.250  0.750  0.500
Cl  0.500  0.500  0.000

## Properties
The value obtained for the magnetization is 0.00 μB per cell. Its space group is I4/mmm. Its density of states at the Fermi level is 1.93 states/eV per cell.

Least stable of them? version i.

Version i
DFT (SCAN) results for a PBEsol-optimized structure of ZnAg2Cl.

Lattice parameters (Å, degrees): 3.002 3.002 7.652 90.00 90.00 90.00
Element x y z (fractional)
Zn  0.500  0.500  0.754
Ag  0.000  0.000  0.981
Ag  0.500  0.500  0.231
Cl  0.000  0.000  0.534

## Properties
The value obtained for the magnetization is 0.00 μB per cell. Its space group is P4mm. Its density of states at the Fermi level is 1.13 states/eV per cell.

Version ii
DFT (SCAN) results for a PBEsol-optimized structure of ZnAg2Cl.

Lattice parameters (Å, degrees): 3.688 3.688 5.959 108.03 108.03 90.00
Element x y z (fractional)
Zn  0.250  0.750  0.500
Ag  0.000  0.000  0.000
Ag  0.750  0.250  0.500
Cl  0.500  0.500  0.000

## Properties
The value obtained for the magnetization is 0.00 μB per cell. Its space group is I-4m2. Its density of states at the Fermi level is 0.82 states/eV per cell.

Least stable of them? version ii.